Density functional theory data (GGA-PBE) for an optimized crystal structure of BiRuSCl2.

Structure (extended XYZ):
```
5
Lattice="-2.648 1.357 -3.774 -2.371 -4.178 0.161 -3.126 1.885 2.871" Properties=species:S:1:pos:R:3 pbc="T T T"
Ru 0.000 0.000 0.000
S -1.563 0.942 1.435
Bi -4.072 -0.468 -0.371
Cl -1.185 -2.089 0.081
Cl -1.324 0.678 -1.887
```

Computed properties:
offset from the most stable computed form = 0.000 eV per atom
Fermi-level density of states = 0.7630 states/eV/atom
final energy = -4.136 eV per atom
V = 107.3 Å³/f.u.
theoretical density = 6.4 Mg/m³
E_form (uncorrected) = 0.3 eV/f.u.